Material: UCrNiP2
Method: DFT, GGA-PBE
State: optimized geometry

VASP energy: -8.1686 eV/atom
formation enthalpy at 0 K: -64 kJ/mol of atoms

a b c (Å): 5.7175 5.7175 5.7175
angles (deg): 141.40 141.40 55.74
Closest atoms and distances in Å follow each position.
Sites, in units of the cell vectors:
U 0.0000 0.0000 0.0000  8 P 2.96, 4 Cr 3.16, 4 Ni 3.16
Cr 0.7500 0.2500 0.5000  4 P 2.27
Ni 0.2500 0.7500 0.5000  4 P 2.27
P 0.3752 0.3752 0.0000  2 Cr 2.27, 2 Ni 2.27, 1 P 2.52
P 0.6248 0.6248 0.0000  2 Cr 2.27, 2 Ni 2.27, 1 P 2.52



Material: HfMn2Au
Method: DFT, GGA-PBE
State: optimized geometry

VASP energy: -7.8919 eV/atom
energy above the most stable polymorph in this dataset: 0.113 eV/atom
formation enthalpy at 0 K: 0 kJ/mol of atoms

a b c (Å): 4.4725 4.4725 4.4725
angles (deg): 60.00 60.00 60.00
Closest atoms and distances in Å follow each position.
Sites, in units of the cell vectors:
Hf 0.0000 0.0000 0.0000  8 Mn 2.74
Mn 0.2500 0.2500 0.2500  4 Hf 2.74, 4 Au 2.74
Mn 0.7500 0.7500 0.7500  4 Hf 2.74, 4 Au 2.74
Au 0.5000 0.5000 0.5000  8 Mn 2.74